# PBE-GGA U2SnAu, optimized geometry
data_U2SnAu
_chemical_formula_sum 'U2 Sn1 Au1'
_cell_length_a 3.134
_cell_length_b 3.134
_cell_length_c 9.338
_cell_angle_alpha 90.00
_cell_angle_beta 90.00
_cell_angle_gamma 90.00
_symmetry_space_group_name_H-M 'P 1'
_symmetry_Int_Tables_number 1
loop_
_symmetry_equiv_pos_as_xyz
'x,y,z'
loop_
_atom_site_label
_atom_site_fract_x
_atom_site_fract_y
_atom_site_fract_z
U1 0.000 0.000 0.238
U2 0.000 0.000 0.762
Sn1 0.500 0.500 0.500
Au1 0.500 0.500 0.000
# Space-group type: P4/mmm, No. 123
# DOS(E_F), states/eV/atom: 2.3959
# Calculated formation energy, meV/atom: -1.5
# Total energy, eV per atom: -7.466
# Size of the total moment, μB/f.u.: 5.5